1.
A geometry-optimized Zn2Fe9O13 structure. Source: the Alexandria database, functional PBE+U.

Output
Crystal system: monoclinic
VASP energy: -5.863 eV/atom
Calculated volume: 10.3 Å³ per atom
Space group: C2/m, No. 12

Cell lengths 5.1681, 5.1681, 17.2578 Å; angles 80.98, 80.98, 33.02 degrees
Closest atoms and distances in Å follow each position.
Sites, in units of the cell vectors:
Zn 0.7931 0.7931 0.2119  4 O 2.04-2.12
Zn 0.2069 0.2069 0.7881  4 O 2.04-2.12
Fe 0.5000 0.5000 0.5000  6 O 2.04-2.05
Fe 0.3556 0.3556 0.0399  6 O 2.03-2.09
Fe 0.6444 0.6444 0.9601  6 O 2.03-2.09
Fe 0.2573 0.2573 0.4180  6 O 2.01-2.15
Fe 0.7427 0.7427 0.5820  6 O 2.01-2.15
Fe 0.0693 0.0693 0.1230  6 O 2.09-2.33
Fe 0.9307 0.9307 0.8770  6 O 2.09-2.33
Fe 0.0232 0.0232 0.3259  3 O 1.88-1.99
Fe 0.9768 0.9768 0.6741  3 O 1.88-1.99
O 0.0000 0.0000 0.0000  6 Fe 2.09-2.33
O 0.1488 0.1488 0.2313  1 Fe 1.88, 2 Zn 2.04
O 0.8512 0.8512 0.7687  1 Fe 1.88, 2 Zn 2.04
O 0.7081 0.7081 0.0693  5 Fe 2.08-2.12
O 0.2919 0.2919 0.9307  5 Fe 2.08-2.12
O 0.4179 0.4179 0.1465  3 Fe 2.03-2.09, 2 Zn 2.12
O 0.5821 0.5821 0.8535  3 Fe 2.03-2.09, 2 Zn 2.12
O 0.3915 0.3915 0.3168  3 Fe 1.99-2.01
O 0.6085 0.6085 0.6832  3 Fe 1.99-2.01
O 0.6137 0.6137 0.3905  5 Fe 2.04-2.15
O 0.3863 0.3863 0.6095  5 Fe 2.04-2.15
O 0.8741 0.8741 0.4701  5 Fe 2.05-2.15
O 0.1259 0.1259 0.5299  5 Fe 2.05-2.15

2.
A geometry-optimized ZnFe2O5 structure. Source: the Alexandria database, functional PBE+U.

Output
Crystal system: orthorhombic
VASP energy: -5.633 eV/atom
Energy above the lowest structure with this stoichiometry: 0.00 eV per formula unit
Calculated volume: 13.8 Å³ per atom
Space group: Cmcm, No. 63

Cell lengths 5.6273, 5.6273, 11.1134 Å; angles 90.00, 90.00, 141.28 degrees
Closest atoms and distances in Å follow each position.
Sites, in units of the cell vectors:
Zn 0.1057 0.8943 0.2500  4 O 1.97-2.08
Zn 0.8943 0.1057 0.7500  4 O 1.97-2.08
Fe 0.7937 0.2063 0.1001  5 O 1.80-2.00
Fe 0.2063 0.7937 0.8999  5 O 1.80-2.00
Fe 0.2063 0.7937 0.6001  5 O 1.80-2.00
Fe 0.7937 0.2063 0.3999  5 O 1.80-2.00
O 0.3076 0.6924 0.7500  2 Fe 1.98, 2 Zn 2.08
O 0.6924 0.3076 0.2500  2 Fe 1.98, 2 Zn 2.08
O 0.7632 0.2368 0.5777  3 Fe 1.98-2.00
O 0.2368 0.7632 0.4223  3 Fe 1.98-2.00
O 0.2368 0.7632 0.0777  3 Fe 1.98-2.00
O 0.7632 0.2368 0.9223  3 Fe 1.98-2.00
O 0.9568 0.0432 0.1447  1 Fe 1.80, 1 Zn 1.97
O 0.0432 0.9568 0.8553  1 Fe 1.80, 1 Zn 1.97
O 0.9568 0.0432 0.3553  1 Fe 1.80, 1 Zn 1.97
O 0.0432 0.9568 0.6447  1 Fe 1.80, 1 Zn 1.97